Here is crystalline Na3InBi2 at its relaxed geometry from the Alexandria database. Energies are from PBE.

Cell lengths 9.387, 12.767, 18.988 Å; angles 81.19, 90.00, 90.00 degrees
Fractional positions:
Bi  0.895  0.311  0.209
Bi  0.364  0.831  0.469
Na  0.686  0.417  0.051
Bi  0.636  0.169  0.531
In  0.439  0.282  0.416
Bi  0.122  0.652  0.296
Na  0.063  0.148  0.763
In  0.075  0.114  0.251
Na  0.317  0.888  0.285
Na  0.563  0.352  0.237
Bi  0.878  0.348  0.704
Na  0.314  0.583  0.949
Na  0.575  0.019  0.410
Bi  0.605  0.811  0.209
Na  0.679  0.770  0.881
Bi  0.404  0.514  0.633
Bi  0.635  0.503  0.876
Na  0.183  0.388  0.285
Bi  0.864  0.669  0.531
Na  0.178  0.426  0.780
Na  0.925  0.519  0.410
Bi  0.365  0.497  0.124
Bi  0.135  0.997  0.124
In  0.561  0.718  0.584
Na  0.436  0.307  0.929
Na  0.826  0.930  0.552
Na  0.179  0.730  0.119
Na  0.678  0.074  0.220
Bi  0.096  0.014  0.633
Na  0.352  0.256  0.610
Na  0.437  0.648  0.763
Na  0.321  0.230  0.119
In  0.061  0.449  0.094
Na  0.326  0.570  0.448
Na  0.817  0.612  0.715
Na  0.936  0.193  0.071
Na  0.564  0.693  0.071
Bi  0.136  0.331  0.469
In  0.561  0.051  0.906
Bi  0.904  0.986  0.367
Na  0.322  0.926  0.780
Na  0.814  0.917  0.051
Na  0.648  0.744  0.390
Bi  0.112  0.356  0.957
Na  0.674  0.430  0.552
In  0.425  0.614  0.251
Bi  0.865  0.003  0.876
Bi  0.378  0.152  0.296
Na  0.937  0.852  0.237
Na  0.075  0.481  0.590
Na  0.852  0.244  0.390
Na  0.064  0.807  0.929
Bi  0.395  0.189  0.791
Na  0.186  0.083  0.949
In  0.925  0.886  0.749
Na  0.821  0.270  0.881
Na  0.822  0.574  0.220
Na  0.148  0.756  0.610
Bi  0.596  0.486  0.367
In  0.061  0.782  0.416
Na  0.174  0.070  0.448
Bi  0.622  0.848  0.704
Bi  0.105  0.689  0.791
Bi  0.888  0.644  0.043
In  0.939  0.218  0.584
In  0.439  0.949  0.094
In  0.939  0.551  0.906
Bi  0.388  0.856  0.957
Na  0.425  0.981  0.590
In  0.575  0.386  0.749
Na  0.683  0.112  0.715
Bi  0.612  0.144  0.043

Calculated values
SG   P2_1/c, No. 14
Calculated volume   31.23 A^3/atom
Calculated formation energy   -0.30 eV per atom
Energy above the most stable polymorph in this dataset   0 meV/atom
Raw total energy   -0.199 Ry per atom

Here is crystalline As2IrAu at its relaxed geometry from the Alexandria database. Energies are from PBE.

Cell lengths 4.614, 4.614, 4.614 Å; angles 60.00, 60.00, 60.00 degrees
Fractional positions:
As  0.250  0.250  0.250
As  0.000  0.000  0.000
Au  0.500  0.500  0.500
Ir  0.750  0.750  0.750

Calculated values
SG   F-43m, No. 216
Calculated volume   17.36 A^3/atom
Calculated formation energy   0.57 eV per atom
Energy above the most stable polymorph in this dataset   617 meV/atom
Raw total energy   -0.352 Ry per atom